1.
! TlSeF2 GGA-PBE optimized geometry; values from VASP
! Calculated volume = 87.55 Å³ per cell
! Total DFT energy (no corrections) = -3.529 eV per atom
! Total magnetic moment = 0.00 μB per formula unit
! ΔE_f (raw) = -1130.8 meV/atom
&SYSTEM
  ibrav = 0, nat = 4, ntyp = 3
/
ATOMIC_SPECIES
Se 78.96 Se.upf
F 19.00 F.upf
Tl 204.38 Tl.upf
CELL_PARAMETERS angstrom
2.114 0.000 7.542
-1.057 1.831 7.542
-1.057 -1.831 7.542
ATOMIC_POSITIONS angstrom
Se 0.000 0.000 0.000
F 0.000 0.000 2.031
F 0.000 0.000 20.595
Tl 0.000 0.000 11.313


2.
! NpGa2Pt GGA-PBE optimized geometry; values from VASP
! Calculated volume = 76.74 Å³ per cell
! ΔE_f = -0.314 eV per atom
! Total DFT energy (no corrections) = -6.573 eV per atom
! Total magnetic moment = 3.81 μB per formula unit
&SYSTEM
  ibrav = 0, nat = 4, ntyp = 3
/
ATOMIC_SPECIES
Np 237.00 Np.upf
Pt 195.08 Pt.upf
Ga 69.72 Ga.upf
CELL_PARAMETERS angstrom
-0.737 -0.718 4.424
-0.687 -3.981 -0.760
3.997 -0.792 0.538
ATOMIC_POSITIONS angstrom
Np -0.369 -0.359 2.212
Pt 1.287 -2.745 2.101
Ga 1.999 -0.396 0.269
Ga -0.343 -1.990 -0.380


3.
! Tb4HoAl2 GGA-PBE optimized geometry; values from VASP
! Calculated volume = 221.06 Å³ per cell
! ΔE_f = 0.105 eV per atom
! Total DFT energy (no corrections) = -4.264 eV per atom
! Total magnetic moment = 0.00 μB per formula unit
&SYSTEM
  ibrav = 0, nat = 7, ntyp = 3
/
ATOMIC_SPECIES
Tb 158.93 Tb.upf
Al 26.98 Al.upf
Ho 164.93 Ho.upf
CELL_PARAMETERS angstrom
5.042 0.000 0.000
2.521 4.366 0.000
2.521 1.455 10.041
ATOMIC_POSITIONS angstrom
Tb 7.563 4.366 8.967
Al 5.042 2.911 2.028
Tb 7.563 4.366 3.096
Tb 2.521 1.455 1.074
Al 5.042 2.911 8.013
Ho 5.042 2.911 5.021
Tb 2.521 1.455 6.945


4.
! Na2TbTiSe4 GGA-PBE optimized geometry; values from VASP
! Calculated volume = 192.10 Å³ per cell
! Total DFT energy (no corrections) = -5.032 eV per atom
! Total magnetic moment = 1.01 μB per formula unit
! ΔE_f (raw) = -1394.0 meV/atom
&SYSTEM
  ibrav = 0, nat = 8, ntyp = 4
/
ATOMIC_SPECIES
Se 78.96 Se.upf
Tb 158.93 Tb.upf
Na 22.99 Na.upf
Ti 47.87 Ti.upf
CELL_PARAMETERS angstrom
3.967 0.000 0.000
0.000 6.897 0.106
0.000 -2.402 6.984
ATOMIC_POSITIONS angstrom
Se 1.984 1.256 1.612
Tb 0.000 0.000 0.000
Se 0.000 4.451 1.583
Na 0.000 2.247 3.545
Na 1.984 -1.201 3.492
Se 0.000 0.044 5.506
Ti 1.984 3.449 0.053
Se 1.984 3.239 5.478


5.
! Rb2AcCuF8 GGA-PBE optimized geometry; values from VASP
! Calculated volume = 225.01 Å³ per cell
! Total DFT energy (no corrections) = -4.863 eV per atom
! Total magnetic moment = 0.14 μB per formula unit
! ΔE_f (raw) = -2770.7 meV/atom
&SYSTEM
  ibrav = 0, nat = 12, ntyp = 4
/
ATOMIC_SPECIES
F 19.00 F.upf
Rb 85.47 Rb.upf
Ac 227.00 Ac.upf
Cu 63.55 Cu.upf
CELL_PARAMETERS angstrom
4.322 -0.197 0.295
-0.131 6.543 -0.758
0.407 -0.868 8.088
ATOMIC_POSITIONS angstrom
F 4.296 1.077 5.980
F 2.356 0.792 3.779
Rb 2.390 2.720 1.679
Ac 0.203 -0.434 4.044
Cu 0.000 0.000 0.000
F 1.826 0.082 7.575
Rb 2.208 2.759 5.946
F 4.495 4.686 6.017
F 2.773 5.397 0.050
F 2.242 4.687 3.846
F 0.302 4.401 1.645
F 0.104 0.792 1.608


6.
! Pm8Nd4Y GGA-PBE optimized geometry; values from VASP
! Calculated volume = 499.55 Å³ per cell
! ΔE_f = 0.479 eV per atom
! Total DFT energy (no corrections) = -4.409 eV per atom
! Total magnetic moment = 1.27 μB per formula unit
&SYSTEM
  ibrav = 0, nat = 13, ntyp = 3
/
ATOMIC_SPECIES
Nd 144.24 Nd.upf
Pm 145.00 Pm.upf
Y 88.91 Y.upf
CELL_PARAMETERS angstrom
9.944 -0.001 -5.365
-6.419 9.299 -0.001
-2.451 -1.691 7.355
ATOMIC_POSITIONS angstrom
Nd 0.000 0.000 0.000
Nd 4.972 0.000 -2.682
Pm 7.777 1.813 -3.647
Pm 1.452 1.002 2.691
Nd 1.763 4.649 -2.683
Y -4.435 3.804 3.677
Pm 2.626 1.813 -0.868
Nd -3.209 4.649 0.000
Pm 4.452 6.628 -3.647
Pm -1.552 5.793 2.858
Pm -0.378 6.604 -0.701
Pm -6.702 5.794 5.637
Pm -3.378 0.978 5.637


7.
! CdPdPtPb GGA-PBE optimized geometry; values from VASP
! Calculated volume = 76.51 Å³ per cell
! ΔE_f = -0.206 eV per atom
! Total DFT energy (no corrections) = -4.170 eV per atom
! Total magnetic moment = 0.00 μB per formula unit
&SYSTEM
  ibrav = 0, nat = 4, ntyp = 4
/
ATOMIC_SPECIES
Cd 112.41 Cd.upf
Pd 106.42 Pd.upf
Pb 207.20 Pb.upf
Pt 195.08 Pt.upf
CELL_PARAMETERS angstrom
4.765 0.000 0.000
2.383 4.127 0.000
2.383 1.376 3.891
ATOMIC_POSITIONS angstrom
Cd 7.148 4.127 2.918
Pd 0.000 0.000 0.000
Pb 2.383 1.376 0.973
Pt 4.765 2.751 1.945


8.
! Cd2SbPb GGA-PBE optimized geometry; values from VASP
! Calculated volume = 107.46 Å³ per cell
! Total DFT energy (no corrections) = -2.292 eV per atom
! Total magnetic moment = 0.00 μB per formula unit
! ΔE_f (raw) = 123.7 meV/atom
&SYSTEM
  ibrav = 0, nat = 4, ntyp = 3
/
ATOMIC_SPECIES
Pb 207.20 Pb.upf
Cd 112.41 Cd.upf
Sb 121.76 Sb.upf
CELL_PARAMETERS angstrom
-4.814 -2.101 0.946
-4.356 3.069 -0.297
-3.459 -0.657 -4.010
ATOMIC_POSITIONS angstrom
Pb -6.314 0.155 -1.681
Cd -9.471 0.233 -2.521
Cd -3.157 0.078 -0.840
Sb 0.000 0.000 0.000


9.
! Mg2Pd4Pt GGA-PBE optimized geometry; values from VASP
! Calculated volume = 157.35 Å³ per cell
! ΔE_f = 0.420 eV per atom
! Total DFT energy (no corrections) = -3.865 eV per atom
! Total magnetic moment = 0.00 μB per formula unit
&SYSTEM
  ibrav = 0, nat = 7, ntyp = 3
/
ATOMIC_SPECIES
Pt 195.08 Pt.upf
Pd 106.42 Pd.upf
Mg 24.30 Mg.upf
CELL_PARAMETERS angstrom
-2.621 -2.803 -2.977
3.183 -3.618 0.604
-3.245 -5.443 4.018
ATOMIC_POSITIONS angstrom
Pt 0.000 0.000 0.000
Pd -0.823 -7.298 -0.328
Pd -1.859 -4.566 1.973
Pd -1.310 -1.401 -1.489
Mg -0.522 -3.719 -0.002
Mg -2.161 -8.145 1.647
Pd 1.591 -1.809 0.302


10.
! TeSe2 GGA-PBE optimized geometry; values from VASP
! Calculated volume = 112.33 Å³ per cell
! Total DFT energy (no corrections) = -3.345 eV per atom
! Total magnetic moment = 0.00 μB per formula unit
! ΔE_f (raw) = 25.6 meV/atom
&SYSTEM
  ibrav = 0, nat = 3, ntyp = 2
/
ATOMIC_SPECIES
Te 127.60 Te.upf
Se 78.96 Se.upf
CELL_PARAMETERS angstrom
4.138 0.000 0.000
-0.137 5.256 0.000
-1.890 -2.318 5.165
ATOMIC_POSITIONS angstrom
Te 1.863 1.244 2.520
Se 1.873 -0.506 4.397
Se 0.238 3.027 3.485


11.
! NdPuIn2Te4 GGA-PBE optimized geometry; values from VASP
! Calculated volume = 282.62 Å³ per cell
! Total DFT energy (no corrections) = -5.483 eV per atom
! Total magnetic moment = 5.06 μB per formula unit
! ΔE_f (raw) = -839.8 meV/atom
&SYSTEM
  ibrav = 0, nat = 8, ntyp = 4
/
ATOMIC_SPECIES
In 114.82 In.upf
Te 127.60 Te.upf
Pu 244.00 Pu.upf
Nd 144.24 Nd.upf
CELL_PARAMETERS angstrom
-1.428 3.544 2.365
-6.483 -3.874 1.891
5.825 -1.626 5.953
ATOMIC_POSITIONS angstrom
In -0.329 -2.750 3.922
Te -1.105 -2.411 7.214
In 2.199 0.959 4.159
Te -3.480 -3.215 2.717
Pu -3.955 -0.165 2.128
Te 2.822 -2.284 5.127
Nd 0.000 0.000 0.000
Te -0.981 0.454 2.995


12.
! Th4Sb8Pd3 GGA-PBE optimized geometry; values from VASP
! Calculated volume = 390.05 Å³ per cell
! Total DFT energy (no corrections) = -6.050 eV per atom
! Total magnetic moment = 0.00 μB per formula unit
! ΔE_f (raw) = -834.0 meV/atom
&SYSTEM
  ibrav = 0, nat = 15, ntyp = 3
/
ATOMIC_SPECIES
Sb 121.76 Sb.upf
Th 232.04 Th.upf
Pd 106.42 Pd.upf
CELL_PARAMETERS angstrom
4.482 0.000 0.000
0.000 4.482 0.000
0.000 0.000 19.419
ATOMIC_POSITIONS angstrom
Sb 2.241 2.241 14.651
Sb 2.241 0.000 11.357
Sb 2.241 0.000 1.471
Th 2.241 0.000 7.321
Pd 0.000 0.000 0.000
Th 0.000 2.241 2.234
Sb 0.000 0.000 4.761
Sb 0.000 2.241 8.062
Sb 0.000 0.000 14.657
Th 0.000 2.241 12.098
Sb 2.241 2.241 4.768
Sb 0.000 2.241 17.948
Pd 0.000 0.000 9.709
Th 2.241 0.000 17.185
Pd 2.241 2.241 9.709